# 1
Here is crystalline Dy6Y2Ho at its relaxed geometry from Alexandria via LeMat-Bulk. Energies are from PBE.

Total DFT energy (no corrections) = -4.9939 eV per atom
Calculated volume = 31.5 Å³ per atom
Theoretical density = 7.71 g/cm3
Fermi-level density of states = 12.62 states/eV per cell
Total moment = 0.000 μB/cell
Calculated formation energy = 0.0193 eV/atom

Cell lengths 3.550, 8.678, 9.381 Å; angles 89.99, 79.16, 89.93 degrees
Space group P-1 (No. 2)
Symmetry-distinct sites (fractional):
Dy (0.112, 0.332, 0.277) [2 per cell]
Dy (0.222, 0.667, 0.055) [2 per cell]
Dy (0.333, 0.000, 0.833) [2 per cell]
Y (0.444, 0.333, 0.611) [2 per cell]
Ho (0.000, 0.000, 0.500) [1 per cell]

=====

# 2
Here is crystalline Dy5YHo at its relaxed geometry from Alexandria via LeMat-Bulk. Energies are from PBE.

Total DFT energy (no corrections) = -3.7500 eV per atom
Calculated volume = 42.6 Å³ per atom
Theoretical density = 5.94 g/cm3
Excess energy over the best structure of this formula in the dataset = 928 meV/atom
Fermi-level density of states = 16.59 states/eV per cell
Total moment = 0.000 μB/cell
Calculated formation energy = 1.1146 eV/atom

Cell lengths 5.788, 8.626, 11.944 Å; angles 90.00, 90.00, 90.00 degrees
Space group Immm (No. 71)
Symmetry-distinct sites (fractional):
Dy (0.000, 0.000, 0.000) [2 per cell]
Dy (0.000, 0.178, 0.500) [4 per cell]
Dy (0.000, 0.500, 0.255) [4 per cell]
Y (0.000, 0.500, 0.000) [2 per cell]
Ho (0.000, 0.500, 0.500) [2 per cell]

=====

# 3
Here is crystalline DyY3Ho at its relaxed geometry from Alexandria via LeMat-Bulk. Energies are from PBE.

Total DFT energy (no corrections) = -5.6935 eV per atom
Calculated volume = 31.8 Å³ per atom
Theoretical density = 6.21 g/cm3
Excess energy over the best structure of this formula in the dataset = 0 meV/atom
Fermi-level density of states = 13.24 states/eV per cell
Total moment = 0.000 μB/cell
Calculated formation energy = 0.0209 eV/atom

Cell lengths 5.012, 7.129, 9.407 Å; angles 100.84, 105.43, 90.11 degrees
Space group P-1 (No. 2)
Symmetry-distinct sites (fractional):
Dy (0.200, 0.351, 0.400) [2 per cell]
Y (0.200, 0.849, 0.400) [2 per cell]
Y (0.400, 0.451, 0.800) [2 per cell]
Y (0.401, 0.950, 0.801) [2 per cell]
Ho (0.000, 0.250, 0.001) [2 per cell]